Crystalline NdHo2TiN4 at its relaxed geometry. Source: Alexandria via LeMat-Bulk, functional PBE.

Cell lengths 3.411, 6.137, 11.836 Å; angles 90.00, 90.00, 106.13 degrees
Fractional coordinates of all 16 atoms:
Nd 0.097 0.194 0.750
Nd 0.903 0.806 0.250
Ho 0.370 0.741 0.539
Ho 0.630 0.259 0.039
Ho 0.630 0.259 0.461
Ho 0.370 0.741 0.961
Ti 0.834 0.668 0.750
Ti 0.166 0.332 0.250
N 0.262 0.525 0.123
N 0.738 0.475 0.623
N 0.738 0.475 0.877
N 0.262 0.525 0.377
N 0.000 0.000 0.500
N 0.000 0.000 0.000
N 0.430 0.860 0.750
N 0.570 0.140 0.250

Space-group type: Cmcm (63)
N(E_F) in states/eV/atom: 0.340
Formation energy from raw total energies in meV/atom: -1485